[1]
A plane-wave DFT calculation with GGA-PBE was carried out for LaInAs2 after structural relaxation.

Values from the calculation:
For the magnetization, the calculation gives 0.000 μB per cell. The calculation puts the calculated formation energy at -693 meV per atom. Its raw total energy is -4.934 eV/atom.

Unit cell a=7.0051 b=7.0051 c=7.0051 alpha=35.91 beta=35.91 gamma=35.91
Last column: nearest neighbours and their distance in Å.
Fractional coordinates of all 4 atoms:
In 0.2500 0.2500 0.2500  6 As 2.92
As 0.9942 0.9942 0.9942  3 In 2.92, 3 La 3.05
As 0.5058 0.5058 0.5058  3 In 2.92, 3 La 3.05
La 0.7500 0.7500 0.7500  6 As 3.05

---

[2]
A plane-wave DFT calculation with GGA-PBE was carried out for La2InNi4As3 after structural relaxation.

Values from the calculation:
For the magnetization, the calculation gives 0.000 μB per cell. The calculation puts the calculated formation energy at -749 meV per atom. Its raw total energy is -5.716 eV/atom.

Unit cell a=4.2166 b=4.2166 c=10.1303 alpha=90.00 beta=90.00 gamma=90.00
Last column: nearest neighbours and their distance in Å.
Fractional coordinates of all 10 atoms:
La 0.0000 0.5000 0.7674  8 Ni 3.16-3.24, 6 As 3.18-3.43, 2 In 3.43
La 0.5000 0.0000 0.2326  8 Ni 3.16-3.24, 6 As 3.18-3.43, 2 In 3.43
Ni 0.0000 0.5000 0.3579  3 As 2.37-2.55, 2 In 2.55
Ni 0.5000 0.0000 0.6421  3 As 2.37-2.55, 2 In 2.55
Ni 0.5000 0.5000 0.0000  4 As 2.46
Ni 0.0000 0.0000 0.0000  4 As 2.46
In 0.5000 0.5000 0.5000  4 Ni 2.55
As 0.0000 0.0000 0.5000  4 Ni 2.55
As 0.0000 0.5000 0.1242  5 Ni 2.37-2.46
As 0.5000 0.0000 0.8758  5 Ni 2.37-2.46

---

[3]
A plane-wave DFT calculation with GGA-PBE was carried out for La2InNi3As4 after structural relaxation.

Values from the calculation:
For the magnetization, the calculation gives 0.000 μB per cell. The calculation puts the calculated formation energy at -701 meV per atom. Its raw total energy is -5.555 eV/atom.

Unit cell a=4.3574 b=4.3574 c=10.0835 alpha=90.00 beta=90.00 gamma=90.00
Last column: nearest neighbours and their distance in Å.
Fractional coordinates of all 10 atoms:
As 0.0000 0.0000 0.0000  4 Ni 2.43
As 0.5000 0.5000 0.0000  4 Ni 2.43
As 0.0000 0.5000 0.3416  1 Ni 2.37
As 0.5000 0.0000 0.6584  1 Ni 2.37
Ni 0.0000 0.0000 0.5000  4 As 2.70
Ni 0.5000 0.0000 0.8937  5 As 2.37-2.43
Ni 0.0000 0.5000 0.1063  5 As 2.37-2.43
In 0.5000 0.5000 0.5000  4 As 2.70
La 0.5000 0.0000 0.2296  8 As 3.18-3.28, 7 Ni 3.32-3.49, 2 In 3.49
La 0.0000 0.5000 0.7704  8 As 3.18-3.28, 7 Ni 3.32-3.49, 2 In 3.49